No. 1
VASP calculation (PBE) on a relaxed Sr5Si2Sn crystal.

Output
E_form (uncorrected)   -0.521 eV/atom
V   34.12 Å³ per atom
N(E_F)   0.50 states/eV/atom

Unit cell a=8.2210 b=8.2210 c=9.9513 alpha=114.40 beta=114.40 gamma=90.00
With the nearest neighbours (Å) after each atom.
Fractional coordinates of all 16 atoms:
Sr  0.5420  0.6856  0.7276  3 Si 3.27-3.32, 2 Sn 3.54
Sr  0.8144  0.9580  0.2724  3 Si 3.27-3.32, 2 Sn 3.54
Sr  0.0000  0.0000  0.0000  4 Si 3.34, 8 Sr 3.74
Sr  0.5000  0.5000  0.0000  4 Si 3.34, 8 Sr 3.74
Sr  0.1856  0.0420  0.7276  3 Si 3.27-3.32, 2 Sn 3.54
Sr  0.6856  0.1856  0.7276  3 Si 3.27-3.32, 2 Sn 3.54
Sr  0.0420  0.5420  0.7276  3 Si 3.27-3.32, 2 Sn 3.54
Sr  0.3144  0.8144  0.2724  3 Si 3.27-3.32, 2 Sn 3.54
Sr  0.9580  0.4580  0.2724  3 Si 3.27-3.32, 2 Sn 3.54
Sr  0.4580  0.3144  0.2724  3 Si 3.27-3.32, 2 Sn 3.54
Si  0.1077  0.3923  0.0000  1 Si 2.50
Si  0.6077  0.1077  0.0000  1 Si 2.50
Si  0.3923  0.8923  0.0000  1 Si 2.50
Si  0.8923  0.6077  0.0000  1 Si 2.50
Sn  0.7500  0.7500  0.5000  8 Sr 3.54
Sn  0.2500  0.2500  0.5000  8 Sr 3.54

=====

No. 2
VASP calculation (PBE) on a relaxed SrSiSn crystal.

Output
E_form (uncorrected)   -0.341 eV/atom
V   27.81 Å³ per atom
N(E_F)   0.36 states/eV/atom

Unit cell a=3.9346 b=4.4429 c=9.8020 alpha=76.90 beta=90.00 gamma=90.00
With the nearest neighbours (Å) after each atom.
Fractional coordinates of all 6 atoms:
Si  0.7500  0.4646  0.0707  2 Si 2.39
Si  0.2500  0.5354  0.9293  2 Si 2.39
Sn  0.7500  0.2833  0.4334  4 Sn 3.23, 1 Si 3.46, 1 Sr 3.56
Sn  0.2500  0.7167  0.5666  4 Sn 3.23, 1 Si 3.46, 1 Sr 3.56
Sr  0.7500  0.0968  0.8063  6 Si 3.19-3.36, 1 Sn 3.56
Sr  0.2500  0.9032  0.1937  6 Si 3.19-3.36, 1 Sn 3.56

=====

No. 3
VASP calculation (PBE) on a relaxed SrSiSn crystal.

Output
E_form (uncorrected)   -0.405 eV/atom
V   29.12 Å³ per atom
N(E_F)   0.17 states/eV/atom

Unit cell a=6.9039 b=4.2185 c=12.1160 alpha=90.00 beta=97.93 gamma=90.00
With the nearest neighbours (Å) after each atom.
Fractional coordinates of all 12 atoms:
Sr  0.2074  0.0000  0.1717  3 Si 3.15-3.29, 4 Sn 3.40-3.52
Sr  0.7926  0.0000  0.8283  3 Si 3.15-3.29, 4 Sn 3.40-3.52
Sr  0.2074  0.5000  0.6717  3 Si 3.15-3.29, 4 Sn 3.40-3.52
Sr  0.7926  0.5000  0.3283  3 Si 3.15-3.29, 4 Sn 3.40-3.52
Si  0.1064  0.0000  0.4297  1 Si 2.40, 2 Sn 2.68
Si  0.8936  0.0000  0.5703  1 Si 2.40, 2 Sn 2.68
Si  0.1064  0.5000  0.9297  1 Si 2.40, 2 Sn 2.68
Si  0.8936  0.5000  0.0703  1 Si 2.40, 2 Sn 2.68
Sn  0.6638  0.0000  0.0968  2 Si 2.68
Sn  0.3362  0.0000  0.9032  2 Si 2.68
Sn  0.6638  0.5000  0.5968  2 Si 2.68
Sn  0.3362  0.5000  0.4032  2 Si 2.68

=====

No. 4
VASP calculation (PBE) on a relaxed SrSiSn crystal.

Output
E_form (uncorrected)   -0.369 eV/atom
V   29.46 Å³ per atom
N(E_F)   0.09 states/eV/atom

Unit cell a=4.2796 b=4.2796 c=11.1434 alpha=90.00 beta=90.00 gamma=120.00
With the nearest neighbours (Å) after each atom.
Fractional coordinates of all 6 atoms:
Sr  0.3333  0.6667  0.6454  6 Sn 3.35-3.44, 1 Si 3.50
Sr  0.6667  0.3333  0.1362  6 Si 3.16-3.35, 1 Sn 3.41
Si  0.0000  0.0000  0.3399  3 Sn 2.72
Si  0.3333  0.6667  0.9594  3 Sn 2.70
Sn  0.6667  0.3333  0.4419  3 Si 2.72
Sn  0.0000  0.0000  0.8608  3 Si 2.70

=====

No. 5
VASP calculation (PBE) on a relaxed SrSiSn crystal.

Output
E_form (uncorrected)   -0.374 eV/atom
V   29.13 Å³ per atom
N(E_F)   0.16 states/eV/atom

Unit cell a=4.2791 b=4.2791 c=33.0644 alpha=90.00 beta=90.00 gamma=120.00
With the nearest neighbours (Å) after each atom.
Fractional coordinates of all 18 atoms:
Sr  0.0000  0.0000  0.2025  3 Si 3.15
Sr  0.3333  0.6667  0.8692  3 Si 3.15
Sr  0.6667  0.3333  0.5358  3 Si 3.15
Sr  0.0000  0.0000  0.3673  3 Si 3.14, 3 Sn 3.45
Sr  0.3333  0.6667  0.0340  3 Si 3.14, 3 Sn 3.45
Sr  0.6667  0.3333  0.7007  3 Si 3.14, 3 Sn 3.45
Si  0.0000  0.0000  0.9281  3 Sn 2.70
Si  0.3333  0.6667  0.5948  3 Sn 2.70
Si  0.6667  0.3333  0.2614  3 Sn 2.70
Si  0.0000  0.0000  0.0927  3 Sn 2.71
Si  0.3333  0.6667  0.7594  3 Sn 2.71
Si  0.6667  0.3333  0.4261  3 Sn 2.71
Sn  0.0000  0.0000  0.6277  3 Si 2.70
Sn  0.3333  0.6667  0.2944  3 Si 2.70
Sn  0.6667  0.3333  0.9610  3 Si 2.70
Sn  0.0000  0.0000  0.7931  3 Si 2.71
Sn  0.3333  0.6667  0.4598  3 Si 2.71
Sn  0.6667  0.3333  0.1264  3 Si 2.71

=====

No. 6
VASP calculation (PBE) on a relaxed SrSiSn2 crystal.

Output
E_form (uncorrected)   -0.040 eV/atom
V   31.18 Å³ per atom
N(E_F)   0.20 states/eV/atom

Unit cell a=5.0233 b=5.0233 c=10.5042 alpha=76.17 beta=76.17 gamma=90.00
With the nearest neighbours (Å) after each atom.
Fractional coordinates of all 8 atoms:
Sr  0.0000  0.0000  0.0000  4 Sn 3.27, 4 Si 3.55
Sr  0.7500  0.2500  0.5000  4 Sn 3.27, 4 Si 3.55
Si  0.5000  0.5000  0.0000  4 Sn 2.88
Si  0.2500  0.7500  0.5000  4 Sn 2.88
Sn  0.5290  0.1250  0.2500  2 Si 2.88, 2 Sn 2.95
Sn  0.2210  0.6250  0.2500  2 Si 2.88, 2 Sn 2.95
Sn  0.3750  0.4710  0.7500  2 Si 2.88, 2 Sn 2.95
Sn  0.8750  0.7790  0.7500  2 Si 2.88, 2 Sn 2.95

=====

No. 7
VASP calculation (PBE) on a relaxed SrSi2Sn crystal.

Output
E_form (uncorrected)   0.050 eV/atom
V   26.13 Å³ per atom
N(E_F)   0.00 states/eV/atom

Unit cell a=7.8982 b=7.8982 c=6.5132 alpha=52.68 beta=52.68 gamma=90.00
With the nearest neighbours (Å) after each atom.
Fractional coordinates of all 8 atoms:
Sr  0.5000  0.5000  0.0000  4 Si 3.18, 2 Sn 3.35
Sr  0.2500  0.7500  0.5000  4 Si 3.18, 2 Sn 3.35
Si  0.6729  0.1250  0.2500  2 Sn 2.67
Si  0.0771  0.6250  0.2500  2 Sn 2.67
Si  0.3750  0.3271  0.7500  2 Sn 2.67
Si  0.8750  0.9229  0.7500  2 Sn 2.67
Sn  0.0000  0.0000  0.0000  4 Si 2.67
Sn  0.7500  0.2500  0.5000  4 Si 2.67

=====

No. 8
VASP calculation (PBE) on a relaxed SrSiSn3 crystal.

Output
E_form (uncorrected)   0.078 eV/atom
V   30.39 Å³ per atom
Relative energy among the computed polymorphs   0 meV per atom
N(E_F)   0.69 states/eV/atom

Unit cell a=5.3364 b=5.3364 c=5.3364 alpha=90.00 beta=90.00 gamma=90.00
With the nearest neighbours (Å) after each atom.
Fractional coordinates of all 5 atoms:
Sr  0.5000  0.5000  0.5000  12 Sn 3.77
Si  0.0000  0.0000  0.0000  6 Sn 2.67
Sn  0.0000  0.5000  0.0000  2 Si 2.67
Sn  0.0000  0.0000  0.5000  2 Si 2.67
Sn  0.5000  0.0000  0.0000  2 Si 2.67

=====

No. 9
VASP calculation (PBE) on a relaxed SrSiSn2 crystal.

Output
E_form (uncorrected)   -0.017 eV/atom
V   29.02 Å³ per atom
N(E_F)   0.65 states/eV/atom

Unit cell a=3.9542 b=3.9542 c=8.8715 alpha=77.12 beta=77.12 gamma=60.00
With the nearest neighbours (Å) after each atom.
Fractional coordinates of all 4 atoms:
Sr  0.5000  0.5000  0.5000  6 Sn 3.50
Si  0.0000  0.0000  0.0000  6 Sn 2.81
Sn  0.2699  0.2699  0.1902  3 Si 2.81
Sn  0.7301  0.7301  0.8098  3 Si 2.81

=====

No. 10
VASP calculation (PBE) on a relaxed SrSiSn crystal.

Output
E_form (uncorrected)   -0.361 eV/atom
V   27.87 Å³ per atom
N(E_F)   0.50 states/eV/atom

Unit cell a=3.9449 b=4.7333 c=9.4640 alpha=104.48 beta=101.85 gamma=90.00
With the nearest neighbours (Å) after each atom.
Fractional coordinates of all 6 atoms:
Sr  0.6490  0.8968  0.7935  6 Si 3.29-3.46, 4 Sn 3.51-3.54
Sr  0.3510  0.1032  0.2065  6 Si 3.29-3.46, 4 Sn 3.51-3.54
Si  0.2128  0.4622  0.9243  2 Si 2.39
Si  0.7872  0.5378  0.0757  2 Si 2.39
Sn  0.0604  0.3009  0.6019  1 Si 2.89, 2 Sn 2.99
Sn  0.9396  0.6991  0.3981  1 Si 2.89, 2 Sn 2.99

=====

No. 11
VASP calculation (PBE) on a relaxed Sr3SiSn2 crystal.

Output
E_form (uncorrected)   -0.518 eV/atom
V   33.38 Å³ per atom
N(E_F)   0.33 states/eV/atom

Unit cell a=4.5594 b=13.4130 c=13.1001 alpha=90.00 beta=90.00 gamma=90.00
With the nearest neighbours (Å) after each atom.
Fractional coordinates of all 24 atoms:
Sr  0.2500  0.3797  0.0686  1 Si 3.25, 4 Sn 3.37-3.51
Sr  0.7500  0.6203  0.9314  1 Si 3.25, 4 Sn 3.37-3.51
Sr  0.7500  0.8797  0.4314  1 Si 3.25, 4 Sn 3.37-3.51
Sr  0.2500  0.1203  0.5686  1 Si 3.25, 4 Sn 3.37-3.51
Sr  0.2500  0.7137  0.2076  2 Si 3.11, 1 Sn 3.36
Sr  0.7500  0.2863  0.7924  2 Si 3.11, 1 Sn 3.36
Sr  0.7500  0.2137  0.2924  2 Si 3.11, 1 Sn 3.36
Sr  0.2500  0.7863  0.7076  2 Si 3.11, 1 Sn 3.36
Sr  0.2500  0.4526  0.3863  5 Sn 3.31-3.46, 3 Si 3.51-3.65
Sr  0.7500  0.5474  0.6137  5 Sn 3.31-3.46, 3 Si 3.51-3.65
Sr  0.7500  0.9526  0.1137  5 Sn 3.31-3.46, 3 Si 3.51-3.65
Sr  0.2500  0.0474  0.8863  5 Sn 3.31-3.46, 3 Si 3.51-3.65
Si  0.2500  0.1489  0.1448  3 Sn 2.73-2.79
Si  0.7500  0.8511  0.8552  3 Sn 2.73-2.79
Si  0.7500  0.6489  0.3552  3 Sn 2.73-2.79
Si  0.2500  0.3511  0.6448  3 Sn 2.73-2.79
Sn  0.2500  0.6846  0.4731  2 Si 2.79
Sn  0.7500  0.3154  0.5269  2 Si 2.79
Sn  0.7500  0.1846  0.0269  2 Si 2.79
Sn  0.2500  0.8154  0.9731  2 Si 2.79
Sn  0.2500  0.0133  0.3006  1 Si 2.73
Sn  0.7500  0.9867  0.6994  1 Si 2.73
Sn  0.7500  0.5133  0.1994  1 Si 2.73
Sn  0.2500  0.4867  0.8006  1 Si 2.73

=====

No. 12
VASP calculation (PBE) on a relaxed SrSi3Sn crystal.

Output
E_form (uncorrected)   1.529 eV/atom
V   32.63 Å³ per atom
Relative energy among the computed polymorphs   856 meV per atom
N(E_F)   1.32 states/eV/atom

Unit cell a=5.4641 b=5.4641 c=5.4641 alpha=90.00 beta=90.00 gamma=90.00
With the nearest neighbours (Å) after each atom.
Fractional coordinates of all 5 atoms:
Sr  0.0000  0.0000  0.0000  6 Si 2.73
Si  0.0000  0.5000  0.0000  2 Sr 2.73
Si  0.0000  0.0000  0.5000  2 Sr 2.73
Si  0.5000  0.0000  0.0000  2 Sr 2.73
Sn  0.5000  0.5000  0.5000  12 Si 3.86